No. 1
Pr2Ga3SiPt4 | the Alexandria database | PBE | relaxed; total magnetic moment = 0.0000 μB/atom; SG = No. 115; formation energy (no corrections) = -0.99 eV per atom
1.0
4.3181 0.0000 0.0000
0.0000 4.3181 0.0000
0.0000 0.0000 10.3082
Pr Ga Si Pt
2 3 1 4
Direct
0.0000 0.5000 0.2424
0.5000 0.0000 0.7576
0.0000 0.0000 0.0000
0.0000 0.5000 0.6334
0.5000 0.0000 0.3666
0.5000 0.5000 0.0000
0.0000 0.0000 0.5000
0.0000 0.5000 0.8772
0.5000 0.0000 0.1228
0.5000 0.5000 0.5000

***

No. 2
Pr3GaSi2Pt9 | the Alexandria database | PBE | relaxed; total magnetic moment = 0.0000 μB/atom; SG = No. 164; formation energy (no corrections) = -0.76 eV per atom
1.0
6.3824 0.0000 0.0000
-3.1912 5.5274 0.0000
0.0000 0.0000 9.0183
Pr Ga Si Pt
3 1 2 9
Direct
0.0000 0.0000 0.0000
0.3333 0.6667 0.6944
0.6667 0.3333 0.3056
0.0000 0.0000 0.5000
0.3333 0.6667 0.1808
0.6667 0.3333 0.8192
0.0000 0.5000 0.0000
0.1444 0.2888 0.2835
0.1444 0.8556 0.2835
0.2888 0.1444 0.7165
0.5000 0.0000 0.0000
0.5000 0.5000 0.0000
0.7112 0.8556 0.2835
0.8556 0.1444 0.7165
0.8556 0.7112 0.7165

***

No. 3
PrGaSiPt6 | the Alexandria database | PBE | relaxed; total magnetic moment = 0.0000 μB/atom; SG = No. 74; formation energy (no corrections) = -0.51 eV per atom
1.0
-3.6385 4.3508 5.6509
3.6385 -4.3508 5.6509
3.6385 4.3508 -5.6509
Pr Ga Si Pt
2 2 2 12
Direct
0.4080 0.1580 0.2500
0.5920 0.8420 0.7500
0.0000 0.0000 0.5000
0.0000 0.5000 0.0000
0.0000 0.5000 0.5000
0.5000 0.5000 0.0000
0.1124 0.3705 0.2344
0.1124 0.8781 0.7419
0.1456 0.8956 0.2500
0.3367 0.5867 0.7500
0.3639 0.1219 0.7344
0.3639 0.6295 0.2419
0.6361 0.3705 0.7581
0.6361 0.8781 0.2656
0.6633 0.4133 0.2500
0.8544 0.1044 0.7500
0.8876 0.1219 0.2581
0.8876 0.6295 0.7656

***

No. 4
PrSmGa2Pt5 | the Alexandria database | PBE | relaxed; E_form = -0.8912 eV/atom; total magnetic moment = 0.0000 μB/atom; SG = No. 123
1.0
4.2549 0.0000 0.0000
0.0000 4.2549 0.0000
0.0000 0.0000 9.4089
Pr Sm Ga Pt
1 1 2 5
Direct
0.0000 0.0000 0.0000
0.0000 0.0000 0.5000
0.5000 0.5000 0.3680
0.5000 0.5000 0.6320
0.0000 0.5000 0.2299
0.0000 0.5000 0.7701
0.5000 0.0000 0.2299
0.5000 0.0000 0.7701
0.5000 0.5000 0.0000

***

No. 5
Pr2SmGa4Pt3 | the Alexandria database | PBE | relaxed; E_form = -0.8548 eV/atom; total magnetic moment = 0.0000 μB/atom; SG = No. 115
1.0
4.3113 0.0000 0.0000
0.0000 4.3113 0.0000
0.0000 0.0000 11.6091
Pr Sm Ga Pt
2 1 4 3
Direct
0.0000 0.5000 0.2238
0.5000 0.0000 0.7762
0.0000 0.0000 0.5000
0.0000 0.0000 0.0000
0.0000 0.5000 0.6691
0.5000 0.0000 0.3309
0.5000 0.5000 0.0000
0.0000 0.5000 0.8808
0.5000 0.0000 0.1192
0.5000 0.5000 0.5000

***

No. 6
Pr2SmGa2Pt7 | the Alexandria database | PBE | relaxed; E_form = -0.9516 eV/atom; total magnetic moment = 0.0000 μB/atom; SG = No. 12
1.0
2.9424 -2.9125 0.0000
2.9424 2.9125 0.0000
-2.0961 0.0000 14.0776
Pr Sm Ga Pt
2 1 2 7
Direct
0.1127 0.1127 0.3566
0.8873 0.8873 0.6434
0.0000 0.0000 0.0000
0.4096 0.4096 0.7460
0.5904 0.5904 0.2540
0.0551 0.5549 0.1542
0.3725 0.3725 0.5709
0.4451 0.9449 0.8458
0.5000 0.5000 0.0000
0.5549 0.0551 0.1542
0.6275 0.6275 0.4291
0.9449 0.4451 0.8458

***

No. 7
Pr2GaSnPt6 | the Alexandria database | PBE | relaxed; E_form = -0.7557 eV/atom; total magnetic moment = 0.0000 μB/atom; SG = No. 12
1.0
4.9118 -2.8386 0.0000
4.9118 2.8386 0.0000
-3.2638 0.0000 8.2569
Pr Ga Sn Pt
2 1 1 6
Direct
0.2031 0.2031 0.1096
0.7969 0.7969 0.8904
0.5000 0.5000 0.0000
0.0000 0.0000 0.5000
0.2466 0.7448 0.2368
0.2546 0.2546 0.7634
0.2552 0.7534 0.7632
0.7448 0.2466 0.2368
0.7454 0.7454 0.2366
0.7534 0.2552 0.7632

***

No. 8
Pr2GaSn3Pt4 | the Alexandria database | PBE | relaxed; E_form = -0.8741 eV/atom; total magnetic moment = 0.0000 μB/atom; SG = No. 115
1.0
4.5697 0.0000 0.0000
0.0000 4.5697 0.0000
0.0000 0.0000 10.5968
Pr Ga Sn Pt
2 1 3 4
Direct
0.0000 0.5000 0.2472
0.5000 0.0000 0.7528
0.5000 0.5000 0.0000
0.0000 0.0000 0.0000
0.0000 0.5000 0.6309
0.5000 0.0000 0.3691
0.0000 0.0000 0.5000
0.0000 0.5000 0.8763
0.5000 0.0000 0.1237
0.5000 0.5000 0.5000